Record 1
Compound: PrLuZnPd
Source: Alexandria
Functional: PBE
Structure: relaxed

```
PrLuZnPd
1.0
-2.8733 1.9323 -3.6962
-3.4627 -2.8984 -2.2935
-4.9312 0.8338 0.7993
Pr Zn Lu Pd
1 1 1 1
direct
0.7500 0.7500 0.7500
0.0000 0.0000 0.0000
0.2500 0.2500 0.2500
0.5000 0.5000 0.5000
```

Results
Volume = 22.97 Å³/atom
Crystal system = cubic
Energy of formation from the pure elements = -541 meV per atom
Symmetry = No. 216

Record 2
Compound: Tm8Te3As3C
Source: Alexandria
Functional: PBE
Structure: relaxed

```
Tm8Te3As3C
1.0
8.1082 -0.0018 -0.0008
-4.0556 7.0216 -0.0248
0.0004 -4.6548 7.0157
Tm Te As C
8 3 3 1
direct
0.2625 0.5251 0.2874
0.7375 0.4749 0.7126
0.7877 0.5754 0.3047
0.2123 0.4246 0.6953
0.7877 0.0169 0.3050
0.2123 0.9831 0.6950
0.2293 0.0171 0.3050
0.7707 0.9829 0.6950
0.0000 0.0000 0.0000
0.0000 0.5000 0.0000
0.5000 0.5000 0.0000
0.5000 0.0000 0.5000
0.5000 0.5000 0.5000
0.0000 0.5000 0.5000
0.0000 0.0000 0.5000
```

Results
Volume = 26.56 Å³/atom
Crystal system = trigonal
Uncorrected formation energy = -1140 meV per atom
Symmetry = No. 166

Record 3
Compound: TaTc2Mo
Source: Alexandria
Functional: PBE
Structure: relaxed

```
TaTc2Mo
1.0
-6.4934 2.3533 5.3346
-5.0980 0.4300 7.0701
-4.1892 3.2257 6.9430
Mo Ta Tc
1 1 2
direct
0.2500 0.2500 0.2500
0.7500 0.7500 0.7500
0.9986 0.9986 0.9986
0.5014 0.5014 0.5014
```

Results
Volume = 16.05 Å³/atom
Crystal system = trigonal
Energy of formation from the pure elements = 155 meV per atom
ΔE to the lowest computed polymorph = 354 meV/atom
Symmetry = No. 166

Record 4
Compound: Nd10Dy4Pu
Source: Alexandria
Functional: PBE
Structure: relaxed

```
Nd10Dy4Pu
1.0
9.6734 0.0000 4.3680
4.8367 6.9890 2.1840
1.9605 0.0000 8.5537
Nd Dy Pu
10 4 1
direct
0.2500 0.5000 0.5000
0.5431 0.3264 0.9041
0.1305 0.0959 0.3264
0.5528 0.9041 0.6736
0.7736 0.6736 0.0959
0.4569 0.6736 0.0959
0.7500 0.5000 0.5000
0.2264 0.3264 0.9041
0.4472 0.0959 0.3264
0.8695 0.9041 0.6736
0.3255 0.7328 0.6162
0.9417 0.3838 0.7328
0.0583 0.6162 0.2672
0.6745 0.2672 0.3838
0.0000 0.0000 0.0000
```

Results
Volume = 34.56 Å³/atom
Crystal system = tetragonal
Energy of formation from the pure elements = 346 meV per atom
Symmetry = No. 87

Record 5
Compound: YAlCo2
Source: Alexandria
Functional: PBE
Structure: relaxed

```
YAlCo2
1.0
4.3059 0.0000 0.0000
0.0000 4.2338 0.8892
0.0000 3.5689 4.0641
Y Co Al
1 2 1
direct
0.5000 0.5000 0.5000
0.0000 0.0000 0.0000
0.5000 0.5000 0.0000
0.0000 0.0000 0.5000
```

Results
Volume = 15.11 Å³/atom
Crystal system = orthorhombic
Energy of formation from the pure elements = -191 meV per atom
Symmetry = No. 47

Record 6
Compound: V2CoTcS
Source: Alexandria
Functional: PBE
Structure: relaxed

```
V2CoTcS
1.0
4.2532 0.0000 0.0000
0.0000 3.9491 0.0000
0.0000 0.0000 4.2532
S Co Tc V
1 1 1 2
direct
0.0000 0.0000 0.0000
0.0000 0.5000 0.0000
0.5000 0.5000 0.5000
0.0000 0.0000 0.5000
0.5000 0.0000 0.0000
```

Results
Volume = 14.29 Å³/atom
Crystal system = tetragonal
Uncorrected formation energy = 270 meV per atom
Symmetry = No. 123

Record 7
Compound: AlPbI2
Source: Alexandria
Functional: PBE
Structure: relaxed

```
AlPbI2
1.0
-4.8244 1.6781 -2.6560
-1.0391 -5.4455 -1.5531
-8.0597 -3.3055 6.3115
Pb I Al
2 4 2
direct
0.0000 0.0000 0.0000
0.7500 0.2500 0.5000
0.6173 0.1250 0.2500
0.1327 0.6250 0.2500
0.3750 0.3827 0.7500
0.8750 0.8673 0.7500
0.5000 0.5000 0.0000
0.2500 0.7500 0.5000
```

Results
Volume = 41.25 Å³/atom
Crystal system = tetragonal
Uncorrected formation energy = 102 meV per atom
ΔE to the lowest computed polymorph = 98 meV/atom
Symmetry = No. 122

Record 8
Compound: InAsAu2
Source: Alexandria
Functional: PBE
Structure: relaxed

```
InAsAu2
1.0
-3.3994 0.3820 -1.7042
0.5249 -2.3454 -1.5727
-3.1591 -4.2907 5.3395
As Au In
1 2 1
direct
0.5000 0.7500 0.7500
0.0000 0.7493 0.0058
0.0000 0.7507 0.4942
0.5000 0.2500 0.2500
```

Results
Volume = 20.70 Å³/atom
Crystal system = orthorhombic
Energy of formation from the pure elements = 30 meV per atom
Symmetry = No. 47

Record 9
Compound: TlPbAu
Source: Alexandria
Functional: PBE
Structure: relaxed

```
TlPbAu
1.0
12.6211 0.0000 0.0000
0.0000 6.3793 0.0000
0.0000 0.0000 4.0713
Pb Tl Au
4 4 4
direct
0.3047 0.2500 0.0001
0.1953 0.7500 0.5001
0.6953 0.7500 0.9999
0.8047 0.2500 0.4999
0.0000 0.0000 0.0000
0.5000 0.5000 0.5000
0.5000 0.0000 0.5000
0.0000 0.5000 0.0000
0.6384 0.2500 0.9999
0.8616 0.7500 0.4999
0.3616 0.7500 0.0001
0.1384 0.2500 0.5001
```

Results
Volume = 27.32 Å³/atom
Crystal system = orthorhombic
Energy of formation from the pure elements = -14 meV per atom
Symmetry = No. 63

Record 10
Compound: RbCo3Os
Source: Alexandria
Functional: PBE
Structure: relaxed

```
RbCo3Os
1.0
4.6650 0.0000 0.0000
0.0000 4.6650 0.0000
0.0000 0.0000 4.6650
Co Os Rb
3 1 1
direct
0.0000 0.5000 0.0000
0.0000 0.0000 0.5000
0.5000 0.0000 0.0000
0.0000 0.0000 0.0000
0.5000 0.5000 0.5000
```

Results
Volume = 20.30 Å³/atom
Crystal system = cubic
Energy of formation from the pure elements = 1348 meV per atom
ΔE to the lowest computed polymorph = 0 meV/atom
Symmetry = No. 221

Record 11
Compound: TiPdO2
Source: Alexandria
Functional: PBE
Structure: relaxed

```
TiPdO2
1.0
-5.4294 -2.3375 2.6348
-5.0883 -3.9941 0.2031
-3.5998 -4.6665 2.6740
O Pd Ti
2 1 1
direct
0.8894 0.8894 0.8894
0.1106 0.1106 0.1106
0.0000 0.0000 0.0000
0.5000 0.5000 0.5000
```

Results
Volume = 11.86 Å³/atom
Crystal system = trigonal
Uncorrected formation energy = -1957 meV per atom
ΔE to the lowest computed polymorph = 0 meV/atom
Symmetry = No. 166

Record 12
Compound: SrPmGa2Pd2
Source: Alexandria
Functional: PBE
Structure: relaxed

```
SrPmGa2Pd2
1.0
4.5130 0.0000 0.0000
-2.2565 3.9083 0.0000
0.0000 0.0000 7.8685
Sr Pm Ga Pd
1 1 2 2
direct
0.0000 0.0000 0.0000
0.0000 0.0000 0.5000
0.6667 0.3333 0.7236
0.3333 0.6667 0.2764
0.6667 0.3333 0.2829
0.3333 0.6667 0.7171
```

Results
Volume = 23.13 Å³/atom
Crystal system = trigonal
Energy of formation from the pure elements = -753 meV per atom
Symmetry = No. 164